First-principles (PBE) data for TiSi3F after structural relaxation, as listed in the Alexandria database.

Values from the calculation:
DFT total energy ... -4.7616 eV/atom
Formation energy from raw total energies ... 446 meV/atom
DOS at the Fermi energy ... 0.9883 states/eV/atom
Space-group type ... No. 221

Unit cell a=4.8132 b=4.8132 c=4.8132 alpha=90.00 beta=90.00 gamma=90.00
Last column: nearest neighbours and their distance in Å.
Atoms (fractional coordinates):
Si1 0.0000 0.5000 0.0000  2 Ti 2.41
Si2 0.0000 0.0000 0.5000  2 Ti 2.41
Si3 0.5000 0.0000 0.0000  2 Ti 2.41
F1 0.5000 0.5000 0.5000  12 Si 3.40
Ti1 0.0000 0.0000 0.0000  6 Si 2.41

---

First-principles (PBE) data for PaNb5C4 after structural relaxation, as listed in the Alexandria database.

Values from the calculation:
DFT total energy ... -10.0225 eV/atom
Formation energy from the elements ... -3.48 eV per formula unit
DOS at the Fermi energy ... 0.5363 states/eV/atom
Space-group type ... No. 12

Unit cell a=3.2008 b=6.6361 c=7.2538 alpha=105.57 beta=102.75 gamma=90.00
Last column: nearest neighbours and their distance in Å.
Atoms (fractional coordinates):
Pa1 0.5000 0.0000 0.0000  6 C 2.39-2.41
Nb1 0.8244 0.6692 0.6489  3 C 2.25-2.29
Nb2 0.8335 0.1497 0.6670  4 C 2.16-2.38
Nb3 0.1665 0.8503 0.3330  4 C 2.16-2.38
Nb4 0.5000 0.5000 0.0000  4 C 2.21
Nb5 0.1756 0.3308 0.3511  3 C 2.25-2.29
C1 0.3243 0.9074 0.6486  5 Nb 2.16-2.25, 1 Pa 2.39
C2 0.9916 0.7231 0.9832  4 Nb 2.21-2.38, 2 Pa 2.41
C3 0.6757 0.0926 0.3514  5 Nb 2.16-2.25, 1 Pa 2.39
C4 0.0084 0.2769 0.0168  4 Nb 2.21-2.38, 2 Pa 2.41